DFT (PBE) results for crystalline Y2TePIr at its relaxed geometry.

a b c (Å): 5.660 5.660 4.728
angles (deg): 90.00 90.00 90.00
Element x y z (fractional)
1 Y 0.000 0.500 0.000
2 Y 0.500 0.000 0.000
3 Te 0.000 0.000 0.000
4 P 0.500 0.500 0.500
5 Ir 0.000 0.000 0.500

Summary:
Crystal system ... tetragonal
Formation energy (no corrections) ... 0.348 eV per atom
SG ... P4/mmm (123)

---

DFT (PBE) results for crystalline Na2TmPa2Se6 at its relaxed geometry.

a b c (Å): 7.085 7.085 7.510
angles (deg): 98.89 98.89 119.36
Element x y z (fractional)
1 Na 0.167 0.833 0.000
2 Na 0.833 0.167 0.000
3 Tm 0.000 0.000 0.500
4 Pa 0.339 0.661 0.500
5 Pa 0.661 0.339 0.500
6 Se 0.072 0.406 0.726
7 Se 0.248 0.248 0.267
8 Se 0.406 0.072 0.726
9 Se 0.594 0.928 0.274
10 Se 0.752 0.752 0.733
11 Se 0.928 0.594 0.274

Summary:
Crystal system ... monoclinic
Formation energy (no corrections) ... -1.431 eV per atom
SG ... C2/m (12)

---

DFT (PBE) results for crystalline Zr2HPdRu at its relaxed geometry.

a b c (Å): 4.563 4.563 3.625
angles (deg): 90.00 90.00 90.00
Element x y z (fractional)
1 Zr 0.000 0.500 0.000
2 Zr 0.500 0.000 0.000
3 H 0.000 0.000 0.000
4 Pd 0.500 0.500 0.500
5 Ru 0.000 0.000 0.500

Summary:
ΔE to the lowest computed polymorph ... 0.000 eV per atom
Crystal system ... tetragonal
SG ... P4/mmm (123)

---

Copy entry 1 word for word.
DFT (PBE) results for crystalline Y2TePIr at its relaxed geometry.

a b c (Å): 5.660 5.660 4.728
angles (deg): 90.00 90.00 90.00
Element x y z (fractional)
1 Y 0.000 0.500 0.000
2 Y 0.500 0.000 0.000
3 Te 0.000 0.000 0.000
4 P 0.500 0.500 0.500
5 Ir 0.000 0.000 0.500

Summary:
Crystal system ... tetragonal
Formation energy (no corrections) ... 0.348 eV per atom
SG ... P4/mmm (123)